The following is a DFT calculation (PBE) of ZnRhI2O after structural relaxation.

abc: 5.644 5.644 3.759
angles: 90.00 90.00 90.00
Element x y z (fractional)
Rh  0.000  0.000  0.000
O  0.000  0.000  0.500
I  0.500  0.000  0.000
I  0.000  0.500  0.000
Zn  0.500  0.500  0.500

Calculated values
Its relative energy among the computed polymorphs is 0 meV per atom. Its space group is No. 123.